# 1
# PBE BaZnSb2, optimized geometry
data_BaZnSb2
_space_group_name_H-M_alt 'P 1'
_space_group_IT_number 1
_cell_length_a 5.062
_cell_length_b 5.202
_cell_length_c 5.418
_cell_angle_alpha 90.00
_cell_angle_beta 90.39
_cell_angle_gamma 90.00
loop_
_space_group_symop_operation_xyz
'x,y,z'
loop_
_atom_site_label
_atom_site_type_symbol
_atom_site_fract_x
_atom_site_fract_y
_atom_site_fract_z
Ba1 Ba 0.000 0.000 0.000
Zn1 Zn 0.468 0.500 0.659
Sb1 Sb 0.499 0.000 0.486
Sb2 Sb 0.505 0.500 0.143
# VASP energy: -3.259 eV per atom
# Crystal system: monoclinic

=====

# 2
# PBE BaZnSb2, optimized geometry
data_BaZnSb2
_space_group_name_H-M_alt 'P 1'
_space_group_IT_number 1
_cell_length_a 4.163
_cell_length_b 4.163
_cell_length_c 7.245
_cell_angle_alpha 90.00
_cell_angle_beta 90.00
_cell_angle_gamma 90.00
loop_
_space_group_symop_operation_xyz
'x,y,z'
loop_
_atom_site_label
_atom_site_type_symbol
_atom_site_fract_x
_atom_site_fract_y
_atom_site_fract_z
Ba1 Ba 0.000 0.000 0.000
Zn1 Zn 0.500 0.500 0.718
Sb1 Sb 0.000 0.000 0.489
Sb2 Sb 0.500 0.500 0.335
# VASP energy: -3.126 eV per atom
# Crystal system: tetragonal

=====

# 3
# PBE BaZn2Sb2, optimized geometry
data_BaZn2Sb2
_space_group_name_H-M_alt 'P 1'
_space_group_IT_number 1
_cell_length_a 10.673
_cell_length_b 4.566
_cell_length_c 11.748
_cell_angle_alpha 90.00
_cell_angle_beta 90.00
_cell_angle_gamma 90.00
loop_
_space_group_symop_operation_xyz
'x,y,z'
loop_
_atom_site_label
_atom_site_type_symbol
_atom_site_fract_x
_atom_site_fract_y
_atom_site_fract_z
Ba1 Ba 0.247 0.250 0.179
Ba2 Ba 0.253 0.750 0.679
Ba3 Ba 0.747 0.250 0.321
Ba4 Ba 0.753 0.750 0.821
Zn1 Zn 0.054 0.250 0.880
Zn2 Zn 0.097 0.250 0.452
Zn3 Zn 0.403 0.750 0.952
Zn4 Zn 0.446 0.750 0.380
Zn5 Zn 0.554 0.250 0.620
Zn6 Zn 0.597 0.250 0.048
Zn7 Zn 0.903 0.750 0.548
Zn8 Zn 0.946 0.750 0.120
Sb1 Sb 0.026 0.750 0.338
Sb2 Sb 0.150 0.750 0.965
Sb3 Sb 0.350 0.250 0.465
Sb4 Sb 0.474 0.250 0.838
Sb5 Sb 0.526 0.750 0.162
Sb6 Sb 0.650 0.750 0.535
Sb7 Sb 0.850 0.250 0.035
Sb8 Sb 0.974 0.250 0.662
# VASP energy: -3.072 eV per atom
# Crystal system: orthorhombic

=====

# 4
# PBE BaZn2Sb2, optimized geometry
data_BaZn2Sb2
_space_group_name_H-M_alt 'P 1'
_space_group_IT_number 1
_cell_length_a 8.627
_cell_length_b 8.627
_cell_length_c 3.666
_cell_angle_alpha 90.00
_cell_angle_beta 90.00
_cell_angle_gamma 90.00
loop_
_space_group_symop_operation_xyz
'x,y,z'
loop_
_atom_site_label
_atom_site_type_symbol
_atom_site_fract_x
_atom_site_fract_y
_atom_site_fract_z
Ba1 Ba 0.000 0.000 0.000
Ba2 Ba 0.500 0.500 0.000
Zn1 Zn 0.146 0.354 0.500
Zn2 Zn 0.354 0.854 0.500
Zn3 Zn 0.646 0.146 0.500
Zn4 Zn 0.854 0.646 0.500
Sb1 Sb 0.135 0.635 0.000
Sb2 Sb 0.365 0.135 0.000
Sb3 Sb 0.635 0.865 0.000
Sb4 Sb 0.865 0.365 0.000
# VASP energy: -2.652 eV per atom
# Crystal system: tetragonal

=====

# 5
# PBE BaZnSb2, optimized geometry
data_BaZnSb2
_space_group_name_H-M_alt 'P 1'
_space_group_IT_number 1
_cell_length_a 6.450
_cell_length_b 6.450
_cell_length_c 6.450
_cell_angle_alpha 46.60
_cell_angle_beta 46.60
_cell_angle_gamma 46.60
loop_
_space_group_symop_operation_xyz
'x,y,z'
loop_
_atom_site_label
_atom_site_type_symbol
_atom_site_fract_x
_atom_site_fract_y
_atom_site_fract_z
Ba1 Ba 0.000 0.000 0.000
Zn1 Zn 0.227 0.227 0.227
Sb1 Sb 0.509 0.509 0.509
Sb2 Sb 0.794 0.794 0.794
# VASP energy: -3.221 eV per atom
# Crystal system: trigonal

=====

# 6
# PBE BaZrSb, optimized geometry
data_BaZrSb
_space_group_name_H-M_alt 'P 1'
_space_group_IT_number 1
_cell_length_a 6.938
_cell_length_b 6.938
_cell_length_c 6.938
_cell_angle_alpha 146.75
_cell_angle_beta 146.75
_cell_angle_gamma 47.73
loop_
_space_group_symop_operation_xyz
'x,y,z'
loop_
_atom_site_label
_atom_site_type_symbol
_atom_site_fract_x
_atom_site_fract_y
_atom_site_fract_z
Ba1 Ba 0.000 0.000 0.000
Zr1 Zr 0.285 0.285 0.000
Sb1 Sb 0.710 0.710 0.000
# VASP energy: -5.170 eV per atom
# Crystal system: tetragonal

=====

# 7
# PBE BaZrSb, optimized geometry
data_BaZrSb
_space_group_name_H-M_alt 'P 1'
_space_group_IT_number 1
_cell_length_a 4.333
_cell_length_b 4.333
_cell_length_c 6.879
_cell_angle_alpha 90.00
_cell_angle_beta 90.00
_cell_angle_gamma 120.00
loop_
_space_group_symop_operation_xyz
'x,y,z'
loop_
_atom_site_label
_atom_site_type_symbol
_atom_site_fract_x
_atom_site_fract_y
_atom_site_fract_z
Ba1 Ba 0.000 0.000 0.000
Zr1 Zr 0.333 0.667 0.557
Sb1 Sb 0.667 0.333 0.361
# VASP energy: -5.007 eV per atom
# Crystal system: trigonal

=====

# 8
# PBE BaZr3Sb, optimized geometry
data_BaZr3Sb
_space_group_name_H-M_alt 'P 1'
_space_group_IT_number 1
_cell_length_a 5.286
_cell_length_b 5.286
_cell_length_c 5.286
_cell_angle_alpha 90.00
_cell_angle_beta 90.00
_cell_angle_gamma 90.00
loop_
_space_group_symop_operation_xyz
'x,y,z'
loop_
_atom_site_label
_atom_site_type_symbol
_atom_site_fract_x
_atom_site_fract_y
_atom_site_fract_z
Ba1 Ba 0.000 0.000 0.000
Zr1 Zr 0.000 0.000 0.500
Zr2 Zr 0.000 0.500 0.000
Zr3 Zr 0.500 0.000 0.000
Sb1 Sb 0.500 0.500 0.500
# VASP energy: -4.732 eV per atom
# Crystal system: cubic

=====

# 9
# PBE BaZrSb, optimized geometry
data_BaZrSb
_space_group_name_H-M_alt 'P 1'
_space_group_IT_number 1
_cell_length_a 4.534
_cell_length_b 4.534
_cell_length_c 10.077
_cell_angle_alpha 90.00
_cell_angle_beta 90.00
_cell_angle_gamma 90.00
loop_
_space_group_symop_operation_xyz
'x,y,z'
loop_
_atom_site_label
_atom_site_type_symbol
_atom_site_fract_x
_atom_site_fract_y
_atom_site_fract_z
Ba1 Ba 0.250 0.250 0.171
Ba2 Ba 0.750 0.750 0.829
Zr1 Zr 0.250 0.750 0.500
Zr2 Zr 0.750 0.250 0.500
Sb1 Sb 0.250 0.250 0.699
Sb2 Sb 0.750 0.750 0.301
# VASP energy: -5.552 eV per atom
# Crystal system: tetragonal

=====

# 10
# PBE BaZrSb4, optimized geometry
data_BaZrSb4
_space_group_name_H-M_alt 'P 1'
_space_group_IT_number 1
_cell_length_a 6.364
_cell_length_b 6.364
_cell_length_c 6.364
_cell_angle_alpha 60.00
_cell_angle_beta 60.00
_cell_angle_gamma 60.00
loop_
_space_group_symop_operation_xyz
'x,y,z'
loop_
_atom_site_label
_atom_site_type_symbol
_atom_site_fract_x
_atom_site_fract_y
_atom_site_fract_z
Ba1 Ba 0.000 0.000 0.000
Zr1 Zr 0.250 0.250 0.250
Sb1 Sb 0.129 0.624 0.624
Sb2 Sb 0.624 0.129 0.624
Sb3 Sb 0.624 0.624 0.129
Sb4 Sb 0.624 0.624 0.624
# VASP energy: -4.448 eV per atom
# Crystal system: cubic

=====

# 11
# PBE BaZrSb, optimized geometry
data_BaZrSb
_space_group_name_H-M_alt 'P 1'
_space_group_IT_number 1
_cell_length_a 5.014
_cell_length_b 5.014
_cell_length_c 4.923
_cell_angle_alpha 90.00
_cell_angle_beta 90.00
_cell_angle_gamma 120.00
loop_
_space_group_symop_operation_xyz
'x,y,z'
loop_
_atom_site_label
_atom_site_type_symbol
_atom_site_fract_x
_atom_site_fract_y
_atom_site_fract_z
Ba1 Ba 0.000 0.000 0.000
Zr1 Zr 0.333 0.667 0.500
Sb1 Sb 0.667 0.333 0.500
# VASP energy: -5.098 eV per atom
# Crystal system: hexagonal

=====

# 12
# PBE BaZr3Sb, optimized geometry
data_BaZr3Sb
_space_group_name_H-M_alt 'P 1'
_space_group_IT_number 1
_cell_length_a 5.492
_cell_length_b 5.492
_cell_length_c 5.492
_cell_angle_alpha 90.00
_cell_angle_beta 90.00
_cell_angle_gamma 90.00
loop_
_space_group_symop_operation_xyz
'x,y,z'
loop_
_atom_site_label
_atom_site_type_symbol
_atom_site_fract_x
_atom_site_fract_y
_atom_site_fract_z
Ba1 Ba 0.000 0.000 0.000
Zr1 Zr 0.000 0.500 0.500
Zr2 Zr 0.500 0.000 0.500
Zr3 Zr 0.500 0.500 0.000
Sb1 Sb 0.500 0.500 0.500
# VASP energy: -5.830 eV per atom
# Crystal system: cubic